Entry 1:
{
  "formula": "AuSO2F",
  "functional": "PBE-GGA",
  "state": "optimized geometry",
  "space_group": "P4/mmm (123)",
  "crystal_system": "tetragonal",
  "e_form_raw_mev_per_atom": 24,
  "dft_energy_ev_per_cell": -19.07,
  "lattice": [[3.452, 0.000, 0.000], [0.000, 3.452, 0.000], [0.000, 0.000, 6.589]],
  "species": ["S", "Au", "O", "O", "F"],
  "fractional_positions": [[0.000, 0.000, 0.000], [0.500, 0.500, 0.500], [0.000, 0.500, 0.000], [0.500, 0.000, 0.000], [0.000, 0.000, 0.500]]
}

Entry 2:
{
  "formula": "AuSOF2",
  "functional": "PBE-GGA",
  "state": "optimized geometry",
  "space_group": "P4/mmm (123)",
  "crystal_system": "tetragonal",
  "e_form_raw_mev_per_atom": -192,
  "dft_energy_ev_per_cell": -17.06,
  "lattice": [[-1.099, -4.133, 1.463], [0.087, -1.529, -4.253], [3.309, -0.759, 0.341]],
  "species": ["S", "Au", "O", "F", "F"],
  "fractional_positions": [[0.000, 0.000, 0.000], [0.500, 0.500, 0.500], [0.000, 0.000, 0.500], [0.000, 0.500, 0.000], [0.500, 0.000, 0.000]]
}

Entry 3:
{
  "formula": "SbAuO2F",
  "functional": "PBE-GGA",
  "state": "optimized geometry",
  "space_group": "P4/mmm (123)",
  "crystal_system": "tetragonal",
  "e_form_raw_mev_per_atom": -65,
  "dft_energy_ev_per_cell": -19.51,
  "lattice": [[4.220, 0.000, 0.000], [0.000, 4.220, 0.000], [0.000, 0.000, 4.275]],
  "species": ["Sb", "Au", "O", "O", "F"],
  "fractional_positions": [[0.500, 0.500, 0.500], [0.000, 0.000, 0.000], [0.000, 0.500, 0.000], [0.500, 0.000, 0.000], [0.000, 0.000, 0.500]]
}

Entry 4:
{
  "formula": "SbAuO2F",
  "functional": "PBE-GGA",
  "state": "optimized geometry",
  "space_group": "P4/mmm (123)",
  "crystal_system": "tetragonal",
  "e_form_raw_mev_per_atom": -700,
  "dft_energy_ev_per_cell": -22.69,
  "lattice": [[-0.105, 1.632, -3.773], [-1.124, -3.642, -1.544], [-4.163, 1.044, 0.568]],
  "species": ["Sb", "Au", "O", "O", "F"],
  "fractional_positions": [[0.000, 0.000, 0.000], [0.500, 0.500, 0.500], [0.000, 0.500, 0.000], [0.500, 0.000, 0.000], [0.000, 0.000, 0.500]]
}

Entry 5:
{
  "formula": "SbAuOF2",
  "functional": "PBE-GGA",
  "state": "optimized geometry",
  "space_group": "P4/mmm (123)",
  "crystal_system": "tetragonal",
  "e_form_raw_mev_per_atom": -949,
  "dft_energy_ev_per_cell": -20.85,
  "lattice": [[4.444, 0.000, 0.000], [0.000, 4.444, 0.000], [0.000, 0.000, 4.232]],
  "species": ["Sb", "Au", "O", "F", "F"],
  "fractional_positions": [[0.000, 0.000, 0.000], [0.500, 0.500, 0.500], [0.000, 0.000, 0.500], [0.000, 0.500, 0.000], [0.500, 0.000, 0.000]]
}

Entry 6:
{
  "formula": "SbAuOF2",
  "functional": "PBE-GGA",
  "state": "optimized geometry",
  "space_group": "P4/mmm (123)",
  "crystal_system": "tetragonal",
  "e_form_raw_mev_per_atom": -282,
  "dft_energy_ev_per_cell": -17.51,
  "lattice": [[-3.797, -1.107, -2.119], [-1.929, -0.930, 3.943], [-1.291, 3.883, 0.285]],
  "species": ["Sb", "Au", "O", "F", "F"],
  "fractional_positions": [[0.500, 0.500, 0.500], [0.000, 0.000, 0.000], [0.000, 0.000, 0.500], [0.000, 0.500, 0.000], [0.500, 0.000, 0.000]]
}

Entry 7:
{
  "formula": "ScAuO2F",
  "functional": "PBE-GGA",
  "state": "optimized geometry",
  "space_group": "P4/mmm (123)",
  "crystal_system": "tetragonal",
  "e_form_raw_mev_per_atom": -693,
  "dft_energy_ev_per_cell": -24.86,
  "lattice": [[4.130, 0.000, 0.000], [0.000, 4.130, 0.000], [0.000, 0.000, 4.345]],
  "species": ["Sc", "Au", "O", "O", "F"],
  "fractional_positions": [[0.500, 0.500, 0.500], [0.000, 0.000, 0.000], [0.000, 0.500, 0.000], [0.500, 0.000, 0.000], [0.000, 0.000, 0.500]]
}

Entry 8:
{
  "formula": "ScAuO2F",
  "functional": "PBE-GGA",
  "state": "optimized geometry",
  "space_group": "P4/mmm (123)",
  "crystal_system": "tetragonal",
  "e_form_raw_mev_per_atom": -1678,
  "dft_energy_ev_per_cell": -29.79,
  "lattice": [[4.157, 0.000, 0.000], [0.000, 4.157, 0.000], [0.000, 0.000, 3.999]],
  "species": ["Sc", "Au", "O", "O", "F"],
  "fractional_positions": [[0.000, 0.000, 0.000], [0.500, 0.500, 0.500], [0.000, 0.500, 0.000], [0.500, 0.000, 0.000], [0.000, 0.000, 0.500]]
}

Entry 9:
{
  "formula": "AuSeOF2",
  "functional": "PBE-GGA",
  "state": "optimized geometry",
  "space_group": "P4/mmm (123)",
  "crystal_system": "tetragonal",
  "e_form_raw_mev_per_atom": 44,
  "dft_energy_ev_per_cell": -15.24,
  "lattice": [[4.459, 0.000, 0.000], [0.000, 4.459, 0.000], [0.000, 0.000, 4.051]],
  "species": ["Au", "O", "Se", "F", "F"],
  "fractional_positions": [[0.000, 0.000, 0.000], [0.000, 0.000, 0.500], [0.500, 0.500, 0.500], [0.000, 0.500, 0.000], [0.500, 0.000, 0.000]]
}

Entry 10:
{
  "formula": "AuSeOF2",
  "functional": "PBE-GGA",
  "state": "optimized geometry",
  "space_group": "P4/mmm (123)",
  "crystal_system": "tetragonal",
  "e_form_raw_mev_per_atom": -341,
  "dft_energy_ev_per_cell": -17.17,
  "lattice": [[4.507, 0.000, 0.000], [0.000, 4.507, 0.000], [0.000, 0.000, 3.764]],
  "species": ["Au", "O", "Se", "F", "F"],
  "fractional_positions": [[0.500, 0.500, 0.500], [0.000, 0.000, 0.500], [0.000, 0.000, 0.000], [0.000, 0.500, 0.000], [0.500, 0.000, 0.000]]
}

Entry 11:
{
  "formula": "AuSe2O3F6",
  "functional": "PBE-GGA",
  "state": "optimized geometry",
  "space_group": "C2/m (12)",
  "crystal_system": "monoclinic",
  "e_form_raw_mev_per_atom": -878,
  "dft_energy_ev_per_cell": -46.89,
  "lattice": [[-3.883, 3.869, 4.425], [-1.397, -4.588, 2.786], [8.372, -0.978, -2.933]],
  "species": ["Au", "Se", "Se", "O", "O", "O", "F", "F", "F", "F", "F", "F"],
  "fractional_positions": [[0.500, 0.000, 0.000], [0.208, 0.667, 0.333], [0.792, 0.333, 0.667], [0.000, 0.500, 0.000], [0.500, 0.500, 0.500], [0.500, 0.000, 0.500], [0.879, 0.359, 0.187], [0.121, 0.641, 0.813], [0.363, 0.835, 0.670], [0.637, 0.165, 0.330], [0.121, 0.172, 0.813], [0.879, 0.828, 0.187]]
}

Entry 12:
{
  "formula": "SiAuOF2",
  "functional": "PBE-GGA",
  "state": "optimized geometry",
  "space_group": "P4/mmm (123)",
  "crystal_system": "tetragonal",
  "e_form_raw_mev_per_atom": -1169,
  "dft_energy_ev_per_cell": -23.25,
  "lattice": [[4.276, 0.000, 0.000], [0.000, 4.276, 0.000], [0.000, 0.000, 3.357]],
  "species": ["Si", "Au", "O", "F", "F"],
  "fractional_positions": [[0.000, 0.000, 0.000], [0.500, 0.500, 0.500], [0.000, 0.000, 0.500], [0.000, 0.500, 0.000], [0.500, 0.000, 0.000]]
}